A plane-wave DFT calculation with PBE was carried out for crystalline Pu2Pa2Si4Ir at its relaxed geometry.

```
data_Pu2Pa2Si4Ir
_chemical_formula_sum 'Pu4 Pa4 Si8 Ir2'
_cell_length_a 6.8149
_cell_length_b 6.8149
_cell_length_c 8.1767
_cell_angle_alpha 90.00
_cell_angle_beta 90.00
_cell_angle_gamma 90.00
_space_group_name_H-M_alt 'I 4/m m m'
_space_group_IT_number 139
_space_group_name_Hall '-I 4 2'
loop_
_atom_site_label
_atom_site_type_symbol
_atom_site_fract_x
_atom_site_fract_y
_atom_site_fract_z
_atom_site_occupancy
Pu1 Pu 0.0000 0.0000 0.1726 1
Pa1 Pa 0.0000 0.5000 0.2500 1
Si1 Si 0.2455 0.2455 0.5000 1
Ir1 Ir 0.0000 0.0000 0.5000 1
```

Calculated values
Size of the total moment = 1.408 μB per atom
Density = 11.0 g/cm³
Calculated volume = 379.8 Å³/cell
Raw formation energy = -0.220 eV per atom